No. 1
Ce3PuIn PBE optimized geometry; M_tot = 0.849 μB/atom; density of states at the Fermi level = 2.120 states/eV/atom; energy of formation from the pure elements = -0.101 eV per atom; ΔE to the lowest computed polymorph = 0.00 eV/f.u.
1.0
6.1478 0.0000 0.0000
0.0000 5.4875 0.0000
-0.9455 0.0000 7.5720
Ce Pu In
6 2 2
direct
0.0800 0.2500 0.3007
0.2008 0.7500 0.0138
0.3359 0.7500 0.5001
0.6641 0.2500 0.4999
0.7992 0.2500 0.9862
0.9200 0.7500 0.6993
0.4557 0.2500 0.1840
0.5443 0.7500 0.8160
0.2428 0.2500 0.7538
0.7572 0.7500 0.2462


No. 2
PaAl2Ge2 PBE optimized geometry; M_tot = 0.000 μB/atom; density of states at the Fermi level = 0.941 states/eV/atom; energy of formation from the pure elements = 0.100 eV per atom
1.0
4.6976 0.0000 0.0000
-2.3488 4.0682 0.0000
0.0000 0.0000 11.6675
Pa Al Ge
2 4 4
direct
0.0000 0.0000 0.2500
0.0000 0.0000 0.7500
0.3333 0.6667 0.0994
0.3333 0.6667 0.4006
0.6667 0.3333 0.5994
0.6667 0.3333 0.9006
0.0000 0.0000 0.0000
0.0000 0.0000 0.5000
0.3333 0.6667 0.7500
0.6667 0.3333 0.2500


No. 3
Y2ReAu PBE optimized geometry; M_tot = 0.000 μB/atom; density of states at the Fermi level = 0.512 states/eV/atom; energy of formation from the pure elements = 0.017 eV per atom; ΔE to the lowest computed polymorph = 1.18 eV/f.u.
1.0
-2.1153 2.1153 4.8341
2.1153 -2.1153 4.8341
2.1153 2.1153 -4.8341
Y Re Au
2 1 1
direct
0.0000 0.0000 0.0000
0.7500 0.2500 0.5000
0.5000 0.5000 0.0000
0.2500 0.7500 0.5000


No. 4
CsPdF PBE optimized geometry; M_tot = 0.000 μB/atom; uncorrected formation energy = -848 meV per atom; density of states at the Fermi level = 0.120 states/eV/atom; ΔE to the lowest computed polymorph = 1.33 eV/f.u.
1.0
2.1488 -3.7295 0.0000
2.1488 3.7295 0.0000
0.0000 0.0000 8.5522
Cs Pd F
2 2 2
direct
0.0000 0.0000 0.0000
0.0000 0.0000 0.5000
0.3334 0.6666 0.7500
0.6666 0.3334 0.2500
0.3329 0.6671 0.2500
0.6671 0.3329 0.7500


No. 5
Ti2Nb2Sb3O14 PBE optimized geometry; M_tot = 0.000 μB/atom; uncorrected formation energy = -2163 meV per atom; density of states at the Fermi level = 0.225 states/eV/atom
1.0
20.0330 -2.4749 0.0000
20.0330 2.4749 0.0000
-0.2207 0.0000 5.6799
Ti Nb Sb O
4 4 6 28
direct
0.0155 0.4270 0.1948
0.4270 0.0155 0.6948
0.5730 0.9845 0.3052
0.9845 0.5730 0.8052
0.1772 0.6720 0.5979
0.3280 0.8228 0.9021
0.6720 0.1772 0.0979
0.8228 0.3280 0.4021
0.1577 0.5382 0.1880
0.1956 0.8044 0.2500
0.4618 0.8423 0.3120
0.5382 0.1577 0.6880
0.8044 0.1956 0.7500
0.8423 0.4618 0.8120
0.0536 0.8893 0.5659
0.0787 0.1035 0.1799
0.1035 0.0787 0.6799
0.1107 0.9464 0.9341
0.1829 0.2182 0.8998
0.2182 0.1829 0.3998
0.2476 0.3958 0.8761
0.2504 0.2698 0.1331
0.2698 0.2504 0.6331
0.2953 0.4607 0.5228
0.3958 0.2476 0.3761
0.4063 0.4750 0.2924
0.4607 0.2953 0.0228
0.4750 0.4063 0.7924
0.5250 0.5937 0.2076
0.5393 0.7047 0.9772
0.5937 0.5250 0.7076
0.6042 0.7524 0.6239
0.7047 0.5393 0.4772
0.7302 0.7496 0.3669
0.7496 0.7302 0.8669
0.7524 0.6042 0.1239
0.7818 0.8171 0.6002
0.8171 0.7818 0.1002
0.8893 0.0536 0.0659
0.8965 0.9213 0.3201
0.9213 0.8965 0.8201
0.9464 0.1107 0.4341


No. 6
Ac2CdIn2Rh5 PBE optimized geometry; M_tot = 0.000 μB/atom; density of states at the Fermi level = 0.600 states/eV/atom; energy of formation from the pure elements = -0.326 eV per atom
1.0
10.6082 0.0000 0.0000
0.0000 10.6082 0.0000
0.0000 0.0000 3.7448
Ac Cd In Rh
4 2 4 10
direct
0.1742 0.3258 0.0000
0.3258 0.8258 0.0000
0.6742 0.1742 0.0000
0.8258 0.6742 0.0000
0.0000 0.0000 0.0000
0.5000 0.5000 0.0000
0.1248 0.6248 0.0000
0.3752 0.1248 0.0000
0.6248 0.8752 0.0000
0.8752 0.3752 0.0000
0.0000 0.5000 0.5000
0.0559 0.7969 0.5000
0.2031 0.0559 0.5000
0.2969 0.5559 0.5000
0.4441 0.2969 0.5000
0.5000 0.0000 0.5000
0.5559 0.7031 0.5000
0.7031 0.4441 0.5000
0.7969 0.9441 0.5000
0.9441 0.2031 0.5000


No. 7
ThBi2Au PBE optimized geometry; M_tot = 0.000 μB/atom; density of states at the Fermi level = 0.674 states/eV/atom; energy of formation from the pure elements = -0.429 eV per atom
1.0
4.9443 0.0000 0.0000
0.0000 4.9443 0.0000
0.0000 0.0000 4.4531
Th Bi Au
1 2 1
direct
0.0000 0.0000 0.0000
0.0000 0.5000 0.5000
0.5000 0.0000 0.5000
0.5000 0.5000 0.0000


No. 8
Be2TlAs PBE optimized geometry; M_tot = 0.000 μB/atom; density of states at the Fermi level = 0.317 states/eV/atom; energy of formation from the pure elements = 0.347 eV per atom; ΔE to the lowest computed polymorph = 0.58 eV/f.u.
1.0
-1.7256 1.7656 5.9106
1.7256 -1.7656 5.9106
1.7256 1.7656 -5.9106
Be Tl As
2 1 1
direct
0.0000 0.0000 0.0000
0.6111 0.1111 0.5000
0.3630 0.3630 0.0000
0.1230 0.6230 0.5000